An optimized crystal structure of KAg3Ge, computed with PBE-GGA.

## Properties
E = -28.457 eV for the cell shown
space group = Imma (74)
distance to the lowest polymorph of the same formula = 0.0 meV per atom
ΔE_f = 0.008 eV/atom
DOS at the Fermi energy = 1.02 states/eV/f.u.

Unit cell a=7.1543 b=7.1543 c=7.1543 alpha=126.84 beta=90.41 gamma=113.16
Element x y z (fractional)
K (0.3372, 0.0872, 0.2500)
K (0.6628, 0.9128, 0.7500)
Ag (0.1675, 0.4175, 0.7500)
Ag (0.2050, 0.0000, 0.7050)
Ag (0.2050, 0.5000, 0.2050)
Ag (0.7950, 0.0000, 0.2950)
Ag (0.7950, 0.5000, 0.7950)
Ag (0.8325, 0.5825, 0.2500)
Ge (0.0000, 0.5000, 0.5000)
Ge (0.5000, 0.5000, 0.0000)